{
  "formula": "PmEr4P5",
  "functional": "PBE",
  "state": "optimized geometry",
  "e_tot_ev_per_cell": -65.99,
  "lattice_angstrom": [[-2.001, 2.831, 10.002], [2.001, -2.831, 10.002], [2.001, 2.831, -10.002]],
  "species": ["Pm", "Er", "Er", "Er", "Er", "P", "P", "P", "P", "P"],
  "frac_coords": [[0.000, 0.000, 0.000], [0.202, 0.202, 0.000], [0.399, 0.399, 0.000], [0.601, 0.601, 0.000], [0.798, 0.798, 0.000], [0.104, 0.604, 0.500], [0.300, 0.800, 0.500], [0.500, 0.000, 0.500], [0.700, 0.200, 0.500], [0.896, 0.396, 0.500]]
}

=====

{
  "formula": "PmErP2",
  "functional": "PBE",
  "state": "optimized geometry",
  "e_tot_ev_per_cell": -26.46,
  "de_polymorph_kcal_per_mol_atoms": 0.000,
  "lattice_angstrom": [[2.027, 1.170, 6.606], [-2.027, 1.170, 6.606], [0.000, -2.341, 6.606]],
  "species": ["Pm", "Er", "P", "P"],
  "frac_coords": [[0.000, 0.000, 0.000], [0.500, 0.500, 0.500], [0.247, 0.247, 0.247], [0.753, 0.753, 0.753]]
}

=====

{
  "formula": "PmEr3P",
  "functional": "PBE",
  "state": "optimized geometry",
  "e_tot_ev_per_cell": -25.87,
  "lattice_angstrom": [[5.347, 0.000, 0.000], [0.000, 5.347, 0.000], [0.000, 0.000, 5.347]],
  "species": ["Pm", "Er", "Er", "Er", "P"],
  "frac_coords": [[0.000, 0.000, 0.000], [0.000, 0.500, 0.500], [0.500, 0.000, 0.500], [0.500, 0.500, 0.000], [0.500, 0.500, 0.500]]
}

=====

{
  "formula": "PmEr2P",
  "functional": "PBE",
  "state": "optimized geometry",
  "e_tot_ev_per_cell": -21.39,
  "lattice_angstrom": [[1.857, 1.072, 10.176], [-1.857, 1.072, 10.176], [0.000, -2.144, 10.176]],
  "species": ["Pm", "Er", "Er", "P"],
  "frac_coords": [[0.000, 0.000, 0.000], [0.114, 0.114, 0.114], [0.886, 0.886, 0.886], [0.500, 0.500, 0.500]]
}

=====

{
  "formula": "Pm3ErP4",
  "functional": "PBE",
  "state": "optimized geometry",
  "e_tot_ev_per_cell": -52.99,
  "lattice_angstrom": [[4.091, -5.785, 0.000], [4.091, 5.785, 0.000], [0.000, 0.000, 4.095]],
  "species": ["Pm", "Pm", "Pm", "Er", "P", "P", "P", "P"],
  "frac_coords": [[0.000, 0.000, 0.000], [0.000, 0.500, 0.500], [0.500, 0.000, 0.500], [0.500, 0.500, 0.000], [0.253, 0.747, 0.000], [0.257, 0.257, 0.500], [0.743, 0.743, 0.500], [0.747, 0.253, 0.000]]
}

=====

{
  "formula": "PmErP2",
  "functional": "PBE",
  "state": "optimized geometry",
  "e_tot_ev_per_cell": -25.73,
  "de_polymorph_kcal_per_mol_atoms": 4.158,
  "lattice_angstrom": [[2.007, 1.159, 6.886], [-2.007, 1.159, 6.886], [0.000, -2.318, 6.886]],
  "species": ["Pm", "Er", "P", "P"],
  "frac_coords": [[0.000, 0.000, 0.000], [0.828, 0.828, 0.828], [0.416, 0.416, 0.416], [0.578, 0.578, 0.578]]
}

=====

{
  "formula": "PmErP2",
  "functional": "PBE",
  "state": "optimized geometry",
  "e_tot_ev_per_cell": -24.31,
  "de_polymorph_kcal_per_mol_atoms": 12.399,
  "lattice_angstrom": [[4.944, 0.000, 0.000], [0.000, 4.944, 0.000], [0.000, 0.000, 3.512]],
  "species": ["Pm", "Er", "P", "P"],
  "frac_coords": [[0.000, 0.000, 0.000], [0.500, 0.500, 0.000], [0.000, 0.500, 0.500], [0.500, 0.000, 0.500]]
}

=====

{
  "formula": "Pm3ErP4",
  "functional": "PBE",
  "state": "optimized geometry",
  "e_tot_ev_per_cell": -106.00,
  "lattice_angstrom": [[7.086, 0.000, 0.000], [0.000, 8.191, 0.000], [-2.367, 0.000, 6.680]],
  "species": ["Pm", "Pm", "Pm", "Pm", "Pm", "Pm", "Er", "Er", "P", "P", "P", "P", "P", "P", "P", "P"],
  "frac_coords": [[0.000, 0.124, 0.250], [0.000, 0.374, 0.750], [0.000, 0.626, 0.250], [0.000, 0.876, 0.750], [0.500, 0.374, 0.250], [0.500, 0.626, 0.750], [0.500, 0.124, 0.750], [0.500, 0.876, 0.250], [0.253, 0.371, 0.504], [0.253, 0.629, 0.004], [0.257, 0.121, 0.000], [0.257, 0.879, 0.500], [0.743, 0.121, 0.500], [0.743, 0.879, 0.000], [0.747, 0.371, 0.996], [0.747, 0.629, 0.496]]
}

=====

{
  "formula": "PmErP2",
  "functional": "PBE",
  "state": "optimized geometry",
  "e_tot_ev_per_cell": -24.32,
  "de_polymorph_kcal_per_mol_atoms": 12.324,
  "lattice_angstrom": [[0.000, 3.500, 3.500], [3.500, 0.000, 3.500], [3.500, 3.500, 0.000]],
  "species": ["Pm", "Er", "P", "P"],
  "frac_coords": [[0.000, 0.000, 0.000], [0.500, 0.500, 0.500], [0.250, 0.250, 0.250], [0.750, 0.750, 0.750]]
}

=====

{
  "formula": "PmEr3P4",
  "functional": "PBE",
  "state": "optimized geometry",
  "e_tot_ev_per_cell": -52.81,
  "lattice_angstrom": [[4.010, -5.670, 0.000], [4.010, 5.670, 0.000], [0.000, 0.000, 4.012]],
  "species": ["Pm", "Er", "Er", "Er", "P", "P", "P", "P"],
  "frac_coords": [[0.000, 0.000, 0.000], [0.000, 0.500, 0.500], [0.500, 0.000, 0.500], [0.500, 0.500, 0.000], [0.253, 0.747, 0.000], [0.257, 0.257, 0.500], [0.743, 0.743, 0.500], [0.747, 0.253, 0.000]]
}

=====

{
  "formula": "Pm2PrErP4",
  "functional": "PBE",
  "state": "optimized geometry",
  "e_tot_ev_per_cell": -52.88,
  "lattice_angstrom": [[7.119, 0.000, 0.000], [0.000, 4.114, 0.000], [-2.372, 0.000, 6.713]],
  "species": ["Pm", "Pm", "Pr", "Er", "P", "P", "P", "P"],
  "frac_coords": [[0.000, 0.000, 0.000], [0.500, 0.500, 0.000], [0.000, 0.500, 0.500], [0.500, 0.000, 0.500], [0.256, 0.000, 0.749], [0.258, 0.500, 0.255], [0.742, 0.500, 0.745], [0.744, 0.000, 0.251]]
}

=====

{
  "formula": "PmPr2ErP4",
  "functional": "PBE",
  "state": "optimized geometry",
  "e_tot_ev_per_cell": -52.82,
  "lattice_angstrom": [[7.148, 0.000, 0.000], [0.000, 4.132, 0.000], [-2.382, 0.000, 6.741]],
  "species": ["Pm", "Pr", "Pr", "Er", "P", "P", "P", "P"],
  "frac_coords": [[0.000, 0.000, 0.000], [0.500, 0.000, 0.500], [0.500, 0.500, 0.000], [0.000, 0.500, 0.500], [0.239, 0.000, 0.742], [0.242, 0.500, 0.252], [0.758, 0.500, 0.748], [0.761, 0.000, 0.258]]
}

=====

{
  "formula": "Pm2ErP3Pt12",
  "functional": "PBE",
  "state": "optimized geometry",
  "e_tot_ev_per_cell": -111.71,
  "lattice_angstrom": [[4.143, 2.392, 6.059], [-4.143, 2.392, 6.059], [0.000, -4.784, 6.059]],
  "species": ["Pm", "Pm", "Er", "P", "P", "P", "Pt", "Pt", "Pt", "Pt", "Pt", "Pt", "Pt", "Pt", "Pt", "Pt", "Pt", "Pt"],
  "frac_coords": [[0.100, 0.100, 0.100], [0.900, 0.900, 0.900], [0.500, 0.500, 0.500], [0.000, 0.500, 0.500], [0.500, 0.000, 0.500], [0.500, 0.500, 0.000], [0.100, 0.641, 0.641], [0.159, 0.159, 0.602], [0.159, 0.602, 0.159], [0.359, 0.359, 0.900], [0.359, 0.900, 0.359], [0.398, 0.841, 0.841], [0.602, 0.159, 0.159], [0.641, 0.100, 0.641], [0.641, 0.641, 0.100], [0.841, 0.398, 0.841], [0.841, 0.841, 0.398], [0.900, 0.359, 0.359]]
}

=====

{
  "formula": "Pm2ErPuP4",
  "functional": "PBE",
  "state": "optimized geometry",
  "e_tot_ev_per_cell": -61.71,
  "lattice_angstrom": [[7.005, 0.000, 0.000], [0.000, 4.061, 0.000], [-2.340, 0.000, 6.616]],
  "species": ["Pm", "Pm", "Er", "Pu", "P", "P", "P", "P"],
  "frac_coords": [[0.000, 0.000, 0.000], [0.500, 0.500, 0.000], [0.000, 0.500, 0.500], [0.500, 0.000, 0.500], [0.248, 0.000, 0.739], [0.256, 0.500, 0.263], [0.744, 0.500, 0.737], [0.752, 0.000, 0.261]]
}

=====

{
  "formula": "PmEr2PuP4",
  "functional": "PBE",
  "state": "optimized geometry",
  "e_tot_ev_per_cell": -61.59,
  "lattice_angstrom": [[6.938, 0.000, 0.000], [0.000, 4.024, 0.000], [-2.323, 0.000, 6.553]],
  "species": ["Pm", "Er", "Er", "Pu", "P", "P", "P", "P"],
  "frac_coords": [[0.000, 0.000, 0.000], [0.500, 0.000, 0.500], [0.500, 0.500, 0.000], [0.000, 0.500, 0.500], [0.252, 0.000, 0.745], [0.256, 0.500, 0.258], [0.744, 0.500, 0.742], [0.748, 0.000, 0.255]]
}

=====

{
  "formula": "Pm2ErP3Rh4",
  "functional": "PBE",
  "state": "optimized geometry",
  "e_tot_ev_per_cell": -70.53,
  "lattice_angstrom": [[4.014, 0.000, 0.000], [0.000, 4.014, 0.000], [0.000, 0.000, 11.193]],
  "species": ["Pm", "Pm", "Er", "P", "P", "P", "Rh", "Rh", "Rh", "Rh"],
  "frac_coords": [[0.000, 0.500, 0.224], [0.500, 0.000, 0.776], [0.000, 0.000, 0.500], [0.000, 0.500, 0.875], [0.500, 0.000, 0.125], [0.500, 0.500, 0.500], [0.000, 0.000, 0.000], [0.000, 0.500, 0.667], [0.500, 0.000, 0.333], [0.500, 0.500, 0.000]]
}

=====

{
  "formula": "Pm2ErP3Rh12",
  "functional": "PBE",
  "state": "optimized geometry",
  "e_tot_ev_per_cell": -124.99,
  "lattice_angstrom": [[4.503, 2.600, 4.291], [-4.503, 2.600, 4.291], [0.000, -5.200, 4.291]],
  "species": ["Pm", "Pm", "Er", "P", "P", "P", "Rh", "Rh", "Rh", "Rh", "Rh", "Rh", "Rh", "Rh", "Rh", "Rh", "Rh", "Rh"],
  "frac_coords": [[0.127, 0.127, 0.127], [0.873, 0.873, 0.873], [0.500, 0.500, 0.500], [0.000, 0.500, 0.500], [0.500, 0.000, 0.500], [0.500, 0.500, 0.000], [0.134, 0.134, 0.589], [0.134, 0.589, 0.134], [0.165, 0.677, 0.677], [0.323, 0.323, 0.835], [0.323, 0.835, 0.323], [0.411, 0.866, 0.866], [0.589, 0.134, 0.134], [0.677, 0.165, 0.677], [0.677, 0.677, 0.165], [0.835, 0.323, 0.323], [0.866, 0.411, 0.866], [0.866, 0.866, 0.411]]
}

=====

{
  "formula": "PmErPS",
  "functional": "PBE",
  "state": "optimized geometry",
  "e_form_raw_mev_per_atom": -1854.5,
  "e_tot_ev_per_cell": -26.27,
  "lattice_angstrom": [[1.998, 1.154, 6.578], [-1.998, 1.154, 6.578], [0.000, -2.308, 6.578]],
  "species": ["Pm", "Er", "P", "S"],
  "frac_coords": [[0.000, 0.000, 0.000], [0.494, 0.494, 0.494], [0.751, 0.751, 0.751], [0.243, 0.243, 0.243]]
}

=====

{
  "formula": "PmErPSe",
  "functional": "PBE",
  "state": "optimized geometry",
  "e_form_raw_mev_per_atom": -1689.2,
  "e_tot_ev_per_cell": -24.96,
  "lattice_angstrom": [[2.000, 1.155, 7.080], [-2.000, 1.155, 7.080], [0.000, -2.310, 7.080]],
  "species": ["Pm", "Er", "P", "Se"],
  "frac_coords": [[0.000, 0.000, 0.000], [0.185, 0.185, 0.185], [0.590, 0.590, 0.590], [0.428, 0.428, 0.428]]
}

=====

{
  "formula": "PmSm2ErP4",
  "functional": "PBE",
  "state": "optimized geometry",
  "e_tot_ev_per_cell": -52.97,
  "lattice_angstrom": [[7.065, 0.000, 0.000], [0.000, 4.082, 0.000], [-2.354, 0.000, 6.661]],
  "species": ["Pm", "Sm", "Sm", "Er", "P", "P", "P", "P"],
  "frac_coords": [[0.000, 0.000, 0.000], [0.000, 0.500, 0.500], [0.500, 0.000, 0.500], [0.500, 0.500, 0.000], [0.254, 0.500, 0.248], [0.256, 0.000, 0.755], [0.744, 0.000, 0.245], [0.746, 0.500, 0.752]]
}

=====

{
  "formula": "Pm2SmErP4",
  "functional": "PBE",
  "state": "optimized geometry",
  "e_tot_ev_per_cell": -52.99,
  "lattice_angstrom": [[7.074, 0.000, 0.000], [0.000, 4.088, 0.000], [-2.358, 0.000, 6.671]],
  "species": ["Pm", "Pm", "Sm", "Er", "P", "P", "P", "P"],
  "frac_coords": [[0.000, 0.000, 0.000], [0.000, 0.500, 0.500], [0.500, 0.000, 0.500], [0.500, 0.500, 0.000], [0.254, 0.500, 0.248], [0.257, 0.000, 0.756], [0.743, 0.000, 0.244], [0.746, 0.500, 0.752]]
}

=====

{
  "formula": "Tb3PmEr2P6",
  "functional": "PBE",
  "state": "optimized geometry",
  "e_tot_ev_per_cell": -79.40,
  "lattice_angstrom": [[3.487, -6.039, 0.000], [3.487, 6.039, 0.000], [-2.324, 0.000, 6.576]],
  "species": ["Tb", "Tb", "Tb", "Pm", "Er", "Er", "P", "P", "P", "P", "P", "P"],
  "frac_coords": [[0.000, 0.000, 0.000], [0.334, 0.666, 0.000], [0.666, 0.334, 0.000], [0.500, 0.500, 0.500], [0.167, 0.833, 0.500], [0.833, 0.167, 0.500], [0.078, 0.417, 0.250], [0.244, 0.244, 0.749], [0.417, 0.078, 0.250], [0.583, 0.922, 0.750], [0.756, 0.756, 0.251], [0.922, 0.583, 0.750]]
}

=====

{
  "formula": "TbPm2ErP4",
  "functional": "PBE",
  "state": "optimized geometry",
  "e_tot_ev_per_cell": -52.99,
  "lattice_angstrom": [[7.038, 0.000, 0.000], [0.000, 4.068, 0.000], [-2.347, 0.000, 6.639]],
  "species": ["Tb", "Pm", "Pm", "Er", "P", "P", "P", "P"],
  "frac_coords": [[0.000, 0.000, 0.000], [0.500, 0.000, 0.500], [0.500, 0.500, 0.000], [0.000, 0.500, 0.500], [0.241, 0.000, 0.745], [0.242, 0.500, 0.249], [0.758, 0.500, 0.751], [0.759, 0.000, 0.255]]
}

=====

{
  "formula": "Tb2PmErP4",
  "functional": "PBE",
  "state": "optimized geometry",
  "e_tot_ev_per_cell": -52.96,
  "lattice_angstrom": [[6.996, 0.000, 0.000], [0.000, 4.042, 0.000], [-2.331, 0.000, 6.598]],
  "species": ["Tb", "Tb", "Pm", "Er", "P", "P", "P", "P"],
  "frac_coords": [[0.000, 0.000, 0.000], [0.500, 0.500, 0.000], [0.000, 0.500, 0.500], [0.500, 0.000, 0.500], [0.255, 0.000, 0.753], [0.255, 0.500, 0.250], [0.745, 0.000, 0.247], [0.745, 0.500, 0.750]]
}